This record from Alexandria via LeMat-Bulk describes crystalline MnNb4FeO12 at its relaxed geometry. The functional is GGA+U.

Properties
D(E_F): 0.00 states/eV/cell
calculated density: 5.1 Mg/m³
raw total energy: -8.65 eV per atom
M_tot: 18.0 μB/cell
symmetry: P2_12_12

POSCAR file:
```
MnNb4FeO12
1.0
5.130 0.000 0.000
0.000 14.565 0.000
0.000 0.000 5.883
Mn Nb Fe O
2 8 2 24
direct
0.000 0.000 0.079 Mn
0.500 0.500 0.921 Mn
0.001 0.162 0.568 Nb
0.003 0.339 0.067 Nb
0.497 0.839 0.933 Nb
0.499 0.662 0.432 Nb
0.501 0.338 0.432 Nb
0.503 0.161 0.933 Nb
0.997 0.661 0.067 Nb
0.999 0.838 0.568 Nb
0.000 0.500 0.577 Fe
0.500 0.000 0.423 Fe
0.147 0.420 0.864 O
0.154 0.081 0.370 O
0.170 0.756 0.878 O
0.171 0.745 0.378 O
0.179 0.403 0.350 O
0.181 0.099 0.852 O
0.319 0.599 0.148 O
0.321 0.903 0.650 O
0.329 0.245 0.622 O
0.330 0.256 0.122 O
0.346 0.581 0.630 O
0.353 0.920 0.136 O
0.647 0.080 0.136 O
0.654 0.419 0.630 O
0.670 0.744 0.122 O
0.671 0.755 0.622 O
0.679 0.097 0.650 O
0.681 0.401 0.148 O
0.819 0.901 0.852 O
0.821 0.597 0.350 O
0.829 0.255 0.378 O
0.830 0.244 0.878 O
0.846 0.919 0.370 O
0.853 0.580 0.864 O
```



This record from Alexandria via LeMat-Bulk describes crystalline MnNb8Fe3O24 at its relaxed geometry. The functional is GGA+U.

Properties
calculated density: 5.2 Mg/m³
raw total energy: -8.37 eV per atom
M_tot: 3.0 μB/cell
symmetry: P1

POSCAR file:
```
MnNb8Fe3O24
1.0
5.102 0.000 0.000
0.015 5.830 0.000
0.062 0.066 14.380
Mn Nb Fe O
1 8 3 24
direct
0.000 0.000 0.000 Mn
0.000 0.024 0.342 Nb
0.000 0.524 0.161 Nb
0.001 0.021 0.659 Nb
0.002 0.518 0.838 Nb
0.500 0.661 0.341 Nb
0.501 0.157 0.838 Nb
0.502 0.658 0.659 Nb
0.503 0.162 0.161 Nb
0.000 0.496 0.500 Fe
0.498 0.685 0.000 Fe
0.501 0.186 0.500 Fe
0.160 0.225 0.422 O
0.162 0.722 0.079 O
0.169 0.213 0.754 O
0.171 0.714 0.743 O
0.174 0.735 0.405 O
0.180 0.239 0.098 O
0.324 0.444 0.903 O
0.327 0.947 0.595 O
0.331 0.469 0.246 O
0.331 0.968 0.256 O
0.338 0.956 0.920 O
0.340 0.458 0.578 O
0.658 0.961 0.078 O
0.661 0.459 0.422 O
0.670 0.462 0.754 O
0.671 0.963 0.743 O
0.674 0.950 0.405 O
0.677 0.450 0.097 O
0.824 0.227 0.902 O
0.827 0.733 0.595 O
0.830 0.719 0.256 O
0.832 0.217 0.245 O
0.833 0.710 0.920 O
0.840 0.223 0.578 O
```



This record from Alexandria via LeMat-Bulk describes crystalline Mn3Nb2Fe3O16 at its relaxed geometry. The functional is GGA+U.

Properties
D(E_F): 1.32 states/eV/cell
calculated density: 4.7 Mg/m³
raw total energy: -7.22 eV per atom
M_tot: 13.0 μB/cell
symmetry: Cm

POSCAR file:
```
Mn3Nb2Fe3O16
1.0
5.038 -2.909 0.000
5.038 2.909 0.000
-0.043 0.000 9.298
Mn Nb Fe O
3 2 3 16
direct
0.000 0.000 0.000 Mn
0.168 0.662 0.499 Mn
0.662 0.168 0.499 Mn
0.167 0.167 0.718 Nb
0.503 0.503 0.216 Nb
0.001 0.494 0.001 Fe
0.494 0.001 0.001 Fe
0.661 0.661 0.503 Fe
0.166 0.166 0.103 O
0.166 0.666 0.115 O
0.309 0.309 0.885 O
0.309 0.869 0.882 O
0.345 0.790 0.381 O
0.348 0.348 0.382 O
0.494 0.494 0.606 O
0.499 0.999 0.616 O
0.666 0.166 0.115 O
0.669 0.669 0.115 O
0.790 0.345 0.381 O
0.830 0.830 0.905 O
0.831 0.831 0.403 O
0.869 0.309 0.882 O
0.997 0.997 0.615 O
0.999 0.499 0.616 O
```